Entry 1:
Dy2Mg13: optimized geometry, PBE-GGA.

```
data_Dy2Mg13
_cell_length_a 8.4646
_cell_length_b 8.4646
_cell_length_c 22.6020
_cell_angle_alpha 90.00
_cell_angle_beta 90.00
_cell_angle_gamma 120.00
_space_group_name_H-M_alt 'R -3 m'
_space_group_IT_number 166
_space_group_name_Hall '-R 3 2"'
loop_
_atom_site_label
_atom_site_type_symbol
_atom_site_fract_x
_atom_site_fract_y
_atom_site_fract_z
Dy1 Dy 0.0000 0.0000 0.2396
Mg1 Mg 0.0000 0.0000 0.0000
Mg2 Mg 0.0832 0.5416 0.3052
Mg3 Mg 0.0972 0.5486 0.5569
```

Entry 2:
Dy2Mg5: optimized geometry, PBE-GGA.

```
data_Dy2Mg5
_cell_length_a 8.429
_cell_length_b 13.800
_cell_length_c 6.308
_cell_angle_alpha 90.00
_cell_angle_beta 90.00
_cell_angle_gamma 90.00
_space_group_name_H-M_alt 'I b a m'
_space_group_IT_number 72
_space_group_name_Hall '-I 2 2c'
loop_
_atom_site_label
_atom_site_type_symbol
_atom_site_fract_x
_atom_site_fract_y
_atom_site_fract_z
Dy1 Dy 0.156 0.086 0.000
Mg1 Mg 0.000 0.279 0.250
Mg2 Mg 0.000 0.500 0.250
Mg3 Mg 0.228 0.146 0.500
```

Entry 3:
# PBE-GGA Dy2Mg, optimized geometry
# ΔE to the lowest computed polymorph = 0.025 eV/atom
data_Dy2Mg
_cell_length_a 3.652
_cell_length_b 3.652
_cell_length_c 12.938
_cell_angle_alpha 90.00
_cell_angle_beta 90.00
_cell_angle_gamma 90.00
_space_group_name_H-M_alt 'I 4/m m m'
_space_group_IT_number 139
_space_group_name_Hall '-I 4 2'
loop_
_atom_site_label
_atom_site_type_symbol
_atom_site_fract_x
_atom_site_fract_y
_atom_site_fract_z
Dy1 Dy 0.000 0.000 0.159
Mg1 Mg 0.000 0.000 0.500

Entry 4:
# PBE-GGA Dy2Mg3, optimized geometry
# ΔE to the lowest computed polymorph = 0.100 eV/atom
data_Dy2Mg3
_cell_length_a 3.3668
_cell_length_b 3.3668
_cell_length_c 41.3771
_cell_angle_alpha 90.00
_cell_angle_beta 90.00
_cell_angle_gamma 120.00
_space_group_name_H-M_alt 'R -3 m'
_space_group_IT_number 166
_space_group_name_Hall '-R 3 2"'
loop_
_atom_site_label
_atom_site_type_symbol
_atom_site_fract_x
_atom_site_fract_y
_atom_site_fract_z
Dy1 Dy 0.0000 0.0000 0.2013
Mg1 Mg 0.0000 0.0000 0.0000
Mg2 Mg 0.0000 0.0000 0.3964

Entry 5:
# PBE-GGA Dy5Mg, optimized geometry
# ΔE to the lowest computed polymorph = 0.025 eV/atom
data_Dy5Mg
_cell_length_a 4.924
_cell_length_b 14.965
_cell_length_c 4.912
_cell_angle_alpha 90.00
_cell_angle_beta 90.00
_cell_angle_gamma 90.00
_space_group_name_H-M_alt 'C m m m'
_space_group_IT_number 65
_space_group_name_Hall '-C 2 2'
loop_
_atom_site_label
_atom_site_type_symbol
_atom_site_fract_x
_atom_site_fract_y
_atom_site_fract_z
Dy1 Dy 0.000 0.000 0.000
Dy2 Dy 0.000 0.165 0.500
Dy3 Dy 0.000 0.331 0.000
Mg1 Mg 0.000 0.500 0.500

Entry 6:
# PBE-GGA DyMg4, optimized geometry
# ΔE to the lowest computed polymorph = 1.070 eV/atom
data_DyMg4
_cell_length_a 5.896
_cell_length_b 5.896
_cell_length_c 5.896
_cell_angle_alpha 90.00
_cell_angle_beta 90.00
_cell_angle_gamma 90.00
_space_group_name_H-M_alt 'P m -3 m'
_space_group_IT_number 221
_space_group_name_Hall '-P 4 2 3'
loop_
_atom_site_label
_atom_site_type_symbol
_atom_site_fract_x
_atom_site_fract_y
_atom_site_fract_z
Dy1 Dy 0.000 0.000 0.000
Mg1 Mg 0.000 0.000 0.500
Mg2 Mg 0.500 0.500 0.500

Entry 7:
# PBE-GGA DyMg4, optimized geometry
# ΔE to the lowest computed polymorph = 0.000 eV/atom
data_DyMg4
_cell_length_a 3.397
_cell_length_b 5.139
_cell_length_c 7.791
_cell_angle_alpha 70.83
_cell_angle_beta 77.44
_cell_angle_gamma 89.95
_space_group_name_H-M_alt 'P -1'
_space_group_IT_number 2
loop_
_space_group_symop_operation_xyz
'x,y,z'
'-x,-y,-z'
loop_
_atom_site_label
_atom_site_type_symbol
_atom_site_fract_x
_atom_site_fract_y
_atom_site_fract_z
Dy1 Dy 0.000 0.000 0.000
Mg1 Mg 0.287 0.788 0.424
Mg2 Mg 0.400 0.399 0.203

Entry 8:
# PBE-GGA DyMg6, optimized geometry
# ΔE to the lowest computed polymorph = 0.000 eV/atom
data_DyMg6
_cell_length_a 9.461
_cell_length_b 5.960
_cell_length_c 12.140
_cell_angle_alpha 90.00
_cell_angle_beta 90.00
_cell_angle_gamma 90.00
_space_group_name_H-M_alt 'P n m a'
_space_group_IT_number 62
loop_
_space_group_symop_operation_xyz
'x,y,z'
'-x,-y,-z'
'-x+1/2,-y,z+1/2'
'x+1/2,y,-z+1/2'
'x+1/2,-y+1/2,-z+1/2'
'-x+1/2,y+1/2,z+1/2'
'-x,y+1/2,-z'
'x,-y+1/2,z'
loop_
_atom_site_label
_atom_site_type_symbol
_atom_site_fract_x
_atom_site_fract_y
_atom_site_fract_z
Dy1 Dy 0.246 0.250 0.066
Mg1 Mg 0.056 0.750 0.085
Mg2 Mg 0.063 0.011 0.308
Mg3 Mg 0.096 0.250 0.520
Mg4 Mg 0.142 0.750 0.851
Mg5 Mg 0.192 0.250 0.754

Entry 9:
# PBE-GGA Dy5Mg, optimized geometry
# ΔE to the lowest computed polymorph = 0.025 eV/atom
data_Dy5Mg
_cell_length_a 5.598
_cell_length_b 3.572
_cell_length_c 18.270
_cell_angle_alpha 90.00
_cell_angle_beta 90.00
_cell_angle_gamma 90.00
_space_group_name_H-M_alt 'A m m 2'
_space_group_IT_number 38
loop_
_space_group_symop_operation_xyz
'x,y,z'
'-x,-y,z'
'-x,y,z'
'x,-y,z'
'x,y+1/2,z+1/2'
'-x,-y+1/2,z+1/2'
'-x,y+1/2,z+1/2'
'x,-y+1/2,z+1/2'
loop_
_atom_site_label
_atom_site_type_symbol
_atom_site_fract_x
_atom_site_fract_y
_atom_site_fract_z
Dy1 Dy 0.000 0.000 0.000
Dy2 Dy 0.000 0.000 0.330
Dy3 Dy 0.000 0.000 0.661
Dy4 Dy 0.500 0.000 0.447
Dy5 Dy 0.500 0.000 0.778
Mg1 Mg 0.500 0.000 0.110

Entry 10:
# PBE-GGA Dy5Mg, optimized geometry
# ΔE to the lowest computed polymorph = 0.000 eV/atom
data_Dy5Mg
_cell_length_a 3.552
_cell_length_b 3.552
_cell_length_c 14.334
_cell_angle_alpha 90.00
_cell_angle_beta 90.00
_cell_angle_gamma 90.00
_space_group_name_H-M_alt 'P 4/m m m'
_space_group_IT_number 123
_space_group_name_Hall '-P 4 2'
loop_
_atom_site_label
_atom_site_type_symbol
_atom_site_fract_x
_atom_site_fract_y
_atom_site_fract_z
Dy1 Dy 0.000 0.000 0.000
Dy2 Dy 0.000 0.000 0.346
Dy3 Dy 0.500 0.500 0.175
Mg1 Mg 0.500 0.500 0.500

Entry 11:
Dy3Mg7: optimized geometry, PBE-GGA.

```
data_Dy3Mg7
_cell_length_a 16.475
_cell_length_b 5.094
_cell_length_c 6.487
_cell_angle_alpha 90.00
_cell_angle_beta 110.33
_cell_angle_gamma 90.00
_space_group_name_H-M_alt 'C 1 2/m 1'
_space_group_IT_number 12
loop_
_space_group_symop_operation_xyz
'x,y,z'
'-x,-y,-z'
'-x,y,-z'
'x,-y,z'
'x+1/2,y+1/2,z'
'-x+1/2,-y+1/2,-z'
'-x+1/2,y+1/2,-z'
'x+1/2,-y+1/2,z'
loop_
_atom_site_label
_atom_site_type_symbol
_atom_site_fract_x
_atom_site_fract_y
_atom_site_fract_z
Dy1 Dy 0.000 0.000 0.000
Dy2 Dy 0.206 0.000 0.795
Mg1 Mg 0.000 0.000 0.500
Mg2 Mg 0.092 0.500 0.865
Mg3 Mg 0.107 0.500 0.383
Mg4 Mg 0.199 0.000 0.301
```

Entry 12:
# PBE-GGA Dy2Mg3, optimized geometry
# ΔE to the lowest computed polymorph = 0.000 eV/atom
data_Dy2Mg3
_cell_length_a 3.752
_cell_length_b 3.752
_cell_length_c 18.719
_cell_angle_alpha 90.00
_cell_angle_beta 90.00
_cell_angle_gamma 90.00
_space_group_name_H-M_alt 'P 4/m m m'
_space_group_IT_number 123
_space_group_name_Hall '-P 4 2'
loop_
_atom_site_label
_atom_site_type_symbol
_atom_site_fract_x
_atom_site_fract_y
_atom_site_fract_z
Dy1 Dy 0.000 0.000 0.103
Dy2 Dy 0.000 0.000 0.303
Mg1 Mg 0.000 0.000 0.500
Mg2 Mg 0.500 0.500 0.000
Mg3 Mg 0.500 0.500 0.203
Mg4 Mg 0.500 0.500 0.410

Number 1: uncorrected energy -25.66 eV/f.u.. Number 2: uncorrected energy -17.13 eV/f.u.. Number 3: uncorrected energy -10.92 eV/f.u.. Number 4: uncorrected energy -13.82 eV/f.u.. Number 5: uncorrected energy -24.53 eV/f.u.. Number 6: uncorrected energy -5.87 eV/f.u.. Number 7: uncorrected energy -11.22 eV/f.u.. Number 8: uncorrected energy -14.11 eV/f.u.. Number 9: uncorrected energy -24.54 eV/f.u.. Number 10: uncorrected energy -24.68 eV/f.u.. Number 11: uncorrected energy -25.52 eV/f.u.. Number 12: uncorrected energy -14.32 eV/f.u..